# 1
The following is a PBE calculation of crystalline NdDyZn2 at its relaxed geometry, from Alexandria.

Lattice parameters (Å, degrees): 3.645 3.645 9.319 78.72 78.72 60.00
Atoms (fractional coordinates):
Dy  0.000  0.000  0.000
Zn  0.253  0.253  0.241
Zn  0.747  0.747  0.759
Nd  0.500  0.500  0.500

Properties
- E_tot: -0.226 Ry per atom
- Space group: R-3m
- V: 104.46 Å³/f.u.

=====

# 2
The following is a PBE calculation of crystalline Pr4Cd3In at its relaxed geometry, from Alexandria.

Lattice parameters (Å, degrees): 5.495 5.495 9.542 73.27 73.27 60.00
Each line ends with the local moment (μB).
Atoms (fractional coordinates):
Cd  0.751  0.751  0.748  0.01
Cd  0.249  0.249  0.252  0.01
Cd  0.500  0.500  0.500  0.01
Pr  0.625  0.625  0.126  0.08
Pr  0.875  0.875  0.376  0.11
Pr  0.125  0.125  0.624  0.11
Pr  0.375  0.375  0.874  0.08
In  0.000  0.000  0.000  0.00

Properties
- E_tot: -0.253 Ry per atom
- Space group: R-3m
- V: 235.30 Å³/f.u.

=====

# 3
The following is a PBE calculation of crystalline LaInI2N at its relaxed geometry, from Alexandria.

Lattice parameters (Å, degrees): 6.166 6.166 3.940 90.00 90.00 90.00
Each line ends with the local moment (μB).
Atoms (fractional coordinates):
In  0.000  0.000  0.000  0.00
La  0.500  0.500  0.500  0.21
I  0.500  0.000  0.000  0.00
I  0.000  0.500  0.000  0.00
N  0.000  0.000  0.500  -0.01

Properties
- Relative energy among the computed polymorphs: 0.531 eV/atom
- E_tot: -0.281 Ry per atom
- Formation energy from raw total energies: -0.006 eV/atom
- Space group: P4/mmm
- V: 149.80 Å³/f.u.

=====

# 4
The following is a PBE calculation of crystalline Rb2BaBrCl6 at its relaxed geometry, from Alexandria.

Lattice parameters (Å, degrees): 8.703 8.703 8.178 57.85 57.85 90.00
Each line ends with the local moment (μB).
Atoms (fractional coordinates):
Cl  0.760  0.760  0.000  0.11
Cl  0.240  0.240  0.000  0.11
Cl  0.760  0.240  0.000  0.11
Cl  0.718  0.718  0.564  0.02
Cl  0.282  0.282  0.436  0.02
Cl  0.240  0.760  0.000  0.11
Ba  0.000  0.000  0.000  0.02
Rb  0.250  0.750  0.500  0.00
Rb  0.750  0.250  0.500  0.00
Br  0.500  0.500  0.000  0.30

Properties
- E_tot: -0.220 Ry per atom
- Formation energy from raw total energies: -1.336 eV/atom
- Space group: I4/mmm
- V: 407.92 Å³/f.u.

=====

# 5
The following is a PBE calculation of crystalline Zn2NiHg2 at its relaxed geometry, from Alexandria.

Lattice parameters (Å, degrees): 7.138 7.138 3.699 90.00 90.00 90.00
Atoms (fractional coordinates):
Zn  0.636  0.864  0.500
Zn  0.864  0.364  0.500
Zn  0.136  0.636  0.500
Zn  0.364  0.136  0.500
Hg  0.330  0.830  0.000
Hg  0.830  0.670  0.000
Hg  0.670  0.170  0.000
Hg  0.170  0.330  0.000
Ni  0.000  0.000  0.000
Ni  0.500  0.500  0.000

Properties
- Relative energy among the computed polymorphs: 0.099 eV/atom
- E_tot: -0.107 Ry per atom
- Space group: P4/mbm
- V: 94.24 Å³/f.u.

=====

# 6
The following is a PBE calculation of crystalline Tm3Tl2Ir at its relaxed geometry, from Alexandria.

Lattice parameters (Å, degrees): 5.448 7.112 8.946 108.89 105.53 84.42
Atoms (fractional coordinates):
Tl  0.282  0.572  0.650
Tl  0.718  0.428  0.350
Tl  0.291  0.034  0.604
Tl  0.709  0.966  0.396
Ir  0.908  0.319  0.017
Ir  0.092  0.681  0.983
Tm  0.606  0.728  0.028
Tm  0.821  0.374  0.709
Tm  0.394  0.272  0.972
Tm  0.116  0.073  0.212
Tm  0.179  0.626  0.291
Tm  0.884  0.927  0.788

Properties
- E_tot: -0.367 Ry per atom
- Space group: P-1
- V: 157.96 Å³/f.u.

=====

# 7
The following is a PBE calculation of crystalline CeHoZnCd at its relaxed geometry, from Alexandria.

Lattice parameters (Å, degrees): 5.230 5.230 5.230 60.00 60.00 60.00
Each line ends with the local moment (μB).
Atoms (fractional coordinates):
Zn  0.750  0.750  0.750  0.03
Ce  0.000  0.000  0.000  0.87
Cd  0.250  0.250  0.250  0.03
Ho  0.500  0.500  0.500  0.26

Properties
- Relative energy among the computed polymorphs: 0.034 eV/atom
- E_tot: -0.249 Ry per atom
- Space group: F-43m
- V: 101.14 Å³/f.u.

=====

# 8
The following is a PBE calculation of crystalline CsAgF2 at its relaxed geometry, from Alexandria.

Lattice parameters (Å, degrees): 3.891 3.891 6.810 73.40 73.40 60.00
Atoms (fractional coordinates):
F  0.067  0.067  0.800
F  0.267  0.267  0.200
Ag  0.669  0.669  0.993
Cs  0.498  0.498  0.507

Properties
- Relative energy among the computed polymorphs: 0.113 eV/atom
- E_tot: -0.264 Ry per atom
- Formation energy from raw total energies: -1.725 eV/atom
- Space group: R3m
- V: 84.28 Å³/f.u.